VASP calculation (GGA-PBE) on a relaxed structure of PrZrPa.

CIF file:
```
data_PrZrPa
_chemical_formula_sum 'Pr2 Zr2 Pa2'
_space_group_name_H-M_alt 'I 4 m m'
_space_group_IT_number 107
_space_group_name_Hall 'I 4 -2'
_cell_length_a 3.2370
_cell_length_b 3.2370
_cell_length_c 15.6225
_cell_angle_alpha 90.00
_cell_angle_beta 90.00
_cell_angle_gamma 90.00
loop_
_atom_site_label
_atom_site_type_symbol
_atom_site_fract_x
_atom_site_fract_y
_atom_site_fract_z
_atom_site_occupancy
Pr1 Pr 0.0000 0.0000 0.0000 1
Zr1 Zr 0.0000 0.0000 0.6768 1
Pa1 Pa 0.0000 0.0000 0.3260 1
```

DFT formation energy = 21 kJ/mol of atoms
relative energy among the computed polymorphs = 106.7 meV per atom
total magnetization = 0.00 μB/atom
crystal system = tetragonal


VASP calculation (GGA-PBE) on a relaxed structure of VHg2Te.

CIF file:
```
data_VHg2Te
_chemical_formula_sum 'V4 Hg8 Te4'
_space_group_name_H-M_alt 'I -4 2 d'
_space_group_IT_number 122
_space_group_name_Hall 'I -4 2bw'
_cell_length_a 9.5422
_cell_length_b 9.5422
_cell_length_c 5.1598
_cell_angle_alpha 90.00
_cell_angle_beta 90.00
_cell_angle_gamma 90.00
loop_
_atom_site_label
_atom_site_type_symbol
_atom_site_fract_x
_atom_site_fract_y
_atom_site_fract_z
_atom_site_occupancy
V1 V 0.0000 0.0000 0.0000 1
Hg1 Hg 0.1552 0.2500 0.1250 1
Te1 Te 0.0000 0.0000 0.5000 1
```

total magnetization = 0.70 μB/atom
crystal system = tetragonal
uncorrected energy = -2.938 eV/atom


VASP calculation (GGA-PBE) on a relaxed structure of Dy4TlBiN.

CIF file:
```
data_Dy4TlBiN
_chemical_formula_sum 'Dy16 Tl4 Bi4 N4'
_space_group_name_H-M_alt 'C m c m'
_space_group_IT_number 63
_space_group_name_Hall '-C 2c 2'
_cell_length_a 6.7036
_cell_length_b 16.0142
_cell_length_c 6.7100
_cell_angle_alpha 90.00
_cell_angle_beta 90.00
_cell_angle_gamma 90.00
loop_
_atom_site_label
_atom_site_type_symbol
_atom_site_fract_x
_atom_site_fract_y
_atom_site_fract_z
_atom_site_occupancy
Dy1 Dy 0.0000 0.0904 0.2500 1
Dy2 Dy 0.0000 0.4042 0.2500 1
Dy3 Dy 0.2500 0.2500 0.0000 1
Tl1 Tl 0.0000 0.1086 0.7500 1
Bi1 Bi 0.0000 0.3955 0.7500 1
N1 N 0.0000 0.2472 0.2500 1
```

total magnetization = 0.00 μB/atom
crystal system = orthorhombic
uncorrected energy = -5.553 eV/atom


VASP calculation (GGA-PBE) on a relaxed structure of PmPr3N4.

CIF file:
```
data_PmPr3N4
_chemical_formula_sum 'Pm1 Pr3 N4'
_space_group_name_H-M_alt 'P m -3 m'
_space_group_IT_number 221
_space_group_name_Hall '-P 4 2 3'
_cell_length_a 5.1931
_cell_length_b 5.1931
_cell_length_c 5.1931
_cell_angle_alpha 90.00
_cell_angle_beta 90.00
_cell_angle_gamma 90.00
loop_
_atom_site_label
_atom_site_type_symbol
_atom_site_fract_x
_atom_site_fract_y
_atom_site_fract_z
_atom_site_occupancy
Pm1 Pm 0.0000 0.0000 0.0000 1
Pr1 Pr 0.0000 0.5000 0.5000 1
N1 N 0.0000 0.0000 0.5000 1
N2 N 0.5000 0.5000 0.5000 1
```

total magnetization = 0.00 μB/atom
crystal system = cubic
uncorrected energy = -7.869 eV/atom


VASP calculation (GGA-PBE) on a relaxed structure of SrTi3Al8O19.

CIF file:
```
data_SrTi3Al8O19
_chemical_formula_sum 'Sr8 Ti24 Al64 O152'
_space_group_name_H-M_alt 'C 1 2 1'
_space_group_IT_number 5
_cell_length_a 22.9437
_cell_length_b 11.1806
_cell_length_c 9.8610
_cell_angle_alpha 90.00
_cell_angle_beta 98.49
_cell_angle_gamma 90.00
loop_
_space_group_symop_operation_xyz
'x,y,z'
'-x,y,-z'
'x+1/2,y+1/2,z'
'-x+1/2,y+1/2,-z'
loop_
_atom_site_label
_atom_site_type_symbol
_atom_site_fract_x
_atom_site_fract_y
_atom_site_fract_z
_atom_site_occupancy
Sr1 Sr 0.0539 0.0000 0.1868 1
Sr2 Sr 0.0551 0.2645 0.6908 1
Ti1 Ti 0.0000 0.0270 0.5000 1
Ti2 Ti 0.0000 0.2413 0.0000 1
Ti3 Ti 0.1001 0.2579 0.3860 1
Ti4 Ti 0.1018 0.0147 0.8800 1
Ti5 Ti 0.1876 0.7558 0.8833 1
Ti6 Ti 0.1887 0.5124 0.3794 1
Ti7 Ti 0.1938 0.1406 0.1620 1
Al1 Al 0.0000 0.5128 0.0000 1
Al2 Al 0.0000 0.7570 0.5000 1
Al3 Al 0.0270 0.5121 0.3346 1
Al4 Al 0.0279 0.7580 0.8344 1
Al5 Al 0.1024 0.6472 0.1166 1
Al6 Al 0.1031 0.5024 0.8627 1
Al7 Al 0.1029 0.6215 0.6161 1
Al8 Al 0.1026 0.7651 0.3629 1
Al9 Al 0.1048 0.3764 0.1168 1
Al10 Al 0.1070 0.8960 0.6146 1
Al11 Al 0.1935 0.2651 0.9010 1
Al12 Al 0.1941 0.3944 0.6552 1
Al13 Al 0.1940 0.9990 0.4092 1
Al14 Al 0.1960 0.1288 0.6587 1
Al15 Al 0.1957 0.8696 0.1603 1
Al16 Al 0.2275 0.5096 0.0704 1
Al17 Al 0.2270 0.7560 0.5658 1
O1 O 0.0434 0.1366 0.4134 1
O2 O 0.0443 0.1327 0.9151 1
O3 O 0.0456 0.3739 0.4152 1
O4 O 0.0461 0.8968 0.9129 1
O5 O 0.0514 0.7553 0.1943 1
O6 O 0.0521 0.3945 0.9459 1
O7 O 0.0521 0.5135 0.1685 1
O8 O 0.0519 0.5131 0.6946 1
O9 O 0.0524 0.6304 0.9429 1
O10 O 0.0522 0.6385 0.4425 1
O11 O 0.0524 0.7544 0.6679 1
O12 O 0.0522 0.8747 0.4455 1
O13 O 0.0541 0.2609 0.1691 1
O14 O 0.0545 0.0082 0.6690 1
O15 O 0.1432 0.6313 0.7982 1
O16 O 0.1426 0.6366 0.2973 1
O17 O 0.1457 0.3822 0.2948 1
O18 O 0.1459 0.8838 0.7957 1
O19 O 0.1473 0.2597 0.5581 1
O20 O 0.1466 0.5094 0.0469 1
O21 O 0.1466 0.7578 0.5460 1
O22 O 0.1479 0.0051 0.0575 1
O23 O 0.1488 0.3859 0.8011 1
O24 O 0.1492 0.8811 0.3026 1
O25 O 0.1498 0.1282 0.3062 1
O26 O 0.1507 0.1374 0.8039 1
O27 O 0.1540 0.5139 0.5515 1
O28 O 0.1537 0.7545 0.0528 1
O29 O 0.1546 0.2628 0.0537 1
O30 O 0.1561 0.0059 0.5571 1
O31 O 0.2384 0.2693 0.7541 1
O32 O 0.2393 0.9951 0.2584 1
O33 O 0.2453 0.3883 0.5060 1
O34 O 0.2452 0.5240 0.2503 1
O35 O 0.2446 0.7444 0.7474 1
O36 O 0.2457 0.1269 0.5128 1
O37 O 0.2469 0.1407 0.0092 1
O38 O 0.2465 0.8773 0.0072 1
```

total magnetization = 0.00 μB/atom
crystal system = monoclinic
uncorrected energy = -7.862 eV/atom


VASP calculation (GGA-PBE) on a relaxed structure of Er3In2Ru.

CIF file:
```
data_Er3In2Ru
_chemical_formula_sum 'Er12 In8 Ru4'
_space_group_name_H-M_alt 'C m m m'
_space_group_IT_number 65
_space_group_name_Hall '-C 2 2'
_cell_length_a 5.0451
_cell_length_b 15.0495
_cell_length_c 7.4736
_cell_angle_alpha 90.00
_cell_angle_beta 90.00
_cell_angle_gamma 90.00
loop_
_atom_site_label
_atom_site_type_symbol
_atom_site_fract_x
_atom_site_fract_y
_atom_site_fract_z
_atom_site_occupancy
Er1 Er 0.0000 0.0000 0.2333 1
Er2 Er 0.0000 0.3247 0.2213 1
In1 In 0.0000 0.1639 0.5000 1
In2 In 0.0000 0.5000 0.0000 1
In3 In 0.0000 0.5000 0.5000 1
Ru1 Ru 0.0000 0.1617 0.0000 1
```

DFT formation energy = -45 kJ/mol of atoms
total magnetization = 0.00 μB/atom
crystal system = orthorhombic


VASP calculation (GGA-PBE) on a relaxed structure of NaP2CCl.

CIF file:
```
data_NaP2CCl
_chemical_formula_sum 'Na1 P2 C1 Cl1'
_space_group_name_H-M_alt 'P 4/m m m'
_space_group_IT_number 123
_space_group_name_Hall '-P 4 2'
_cell_length_a 3.7872
_cell_length_b 3.7872
_cell_length_c 8.3647
_cell_angle_alpha 90.00
_cell_angle_beta 90.00
_cell_angle_gamma 90.00
loop_
_atom_site_label
_atom_site_type_symbol
_atom_site_fract_x
_atom_site_fract_y
_atom_site_fract_z
_atom_site_occupancy
Na1 Na 0.0000 0.0000 0.0000 1
P1 P 0.0000 0.5000 0.5000 1
C1 C 0.5000 0.5000 0.5000 1
Cl1 Cl 0.5000 0.5000 0.0000 1
```

relative energy among the computed polymorphs = 0.0 meV per atom
total magnetization = 0.00 μB/atom
crystal system = tetragonal


VASP calculation (GGA-PBE) on a relaxed structure of Pt2SeCl.

CIF file:
```
data_Pt2SeCl
_chemical_formula_sum 'Pt2 Se1 Cl1'
_space_group_name_H-M_alt 'P 4/m m m'
_space_group_IT_number 123
_space_group_name_Hall '-P 4 2'
_cell_length_a 3.2631
_cell_length_b 3.2631
_cell_length_c 6.7086
_cell_angle_alpha 90.00
_cell_angle_beta 90.00
_cell_angle_gamma 90.00
loop_
_atom_site_label
_atom_site_type_symbol
_atom_site_fract_x
_atom_site_fract_y
_atom_site_fract_z
_atom_site_occupancy
Pt1 Pt 0.0000 0.0000 0.2132 1
Se1 Se 0.5000 0.5000 0.0000 1
Cl1 Cl 0.5000 0.5000 0.5000 1
```

relative energy among the computed polymorphs = 620.2 meV per atom
total magnetization = 0.00 μB/atom
crystal system = tetragonal


VASP calculation (GGA-PBE) on a relaxed structure of SrSm2CuO5.

CIF file:
```
data_SrSm2CuO5
_chemical_formula_sum 'Sr4 Sm8 Cu4 O20'
_space_group_name_H-M_alt 'I 4/m c m'
_space_group_IT_number 140
_space_group_name_Hall '-I 4 2c'
_cell_length_a 6.6280
_cell_length_b 6.6280
_cell_length_c 11.4913
_cell_angle_alpha 90.00
_cell_angle_beta 90.00
_cell_angle_gamma 90.00
loop_
_atom_site_label
_atom_site_type_symbol
_atom_site_fract_x
_atom_site_fract_y
_atom_site_fract_z
_atom_site_occupancy
Sr1 Sr 0.0000 0.0000 0.2500 1
Sm1 Sm 0.1714 0.3286 0.0000 1
Cu1 Cu 0.0000 0.5000 0.2500 1
O1 O 0.0000 0.0000 0.0000 1
O2 O 0.1458 0.3542 0.3702 1
```

total magnetization = 0.11 μB/atom
crystal system = tetragonal
uncorrected energy = -7.004 eV/atom


VASP calculation (GGA-PBE) on a relaxed structure of K2GePt.

CIF file:
```
data_K2GePt
_chemical_formula_sum 'K6 Ge3 Pt3'
_space_group_name_H-M_alt 'R 3 m'
_space_group_IT_number 160
_space_group_name_Hall 'R 3 -2"'
_cell_length_a 4.2746
_cell_length_b 4.2746
_cell_length_c 28.1441
_cell_angle_alpha 90.00
_cell_angle_beta 90.00
_cell_angle_gamma 120.00
loop_
_atom_site_label
_atom_site_type_symbol
_atom_site_fract_x
_atom_site_fract_y
_atom_site_fract_z
_atom_site_occupancy
K1 K 0.0000 0.0000 0.0000 1
K2 K 0.0000 0.0000 0.1747 1
Ge1 Ge 0.0000 0.0000 0.7540 1
Pt1 Pt 0.0000 0.0000 0.4206 1
```

DFT formation energy = -28 kJ/mol of atoms
total magnetization = 0.00 μB/atom
crystal system = trigonal


VASP calculation (GGA-PBE) on a relaxed structure of Pd7Pt3W.

CIF file:
```
data_Pd7Pt3W
_chemical_formula_sum 'Pd7 Pt3 W1'
_space_group_name_H-M_alt 'P 3 m 1'
_space_group_IT_number 156
_cell_length_a 5.5385
_cell_length_b 5.5385
_cell_length_c 6.7357
_cell_angle_alpha 90.00
_cell_angle_beta 90.00
_cell_angle_gamma 120.00
loop_
_space_group_symop_operation_xyz
'x,y,z'
'-y,x-y,z'
'-x+y,-x,z'
'-y,-x,z'
'-x+y,y,z'
'x,x-y,z'
loop_
_atom_site_label
_atom_site_type_symbol
_atom_site_fract_x
_atom_site_fract_y
_atom_site_fract_z
_atom_site_occupancy
Pd1 Pd 0.0000 0.0000 0.0000 1
Pd2 Pd 0.1684 0.3369 0.6583 1
Pd3 Pd 0.5010 0.0020 0.9932 1
Pt1 Pt 0.3366 0.1683 0.3336 1
W1 W 0.6667 0.3333 0.6548 1
```

DFT formation energy = -1 kJ/mol of atoms
total magnetization = 0.00 μB/atom
crystal system = trigonal


VASP calculation (GGA-PBE) on a relaxed structure of Na2Sr2Ca.

CIF file:
```
data_Na2Sr2Ca
_chemical_formula_sum 'Na4 Sr4 Ca2'
_space_group_name_H-M_alt 'P 4/m b m'
_space_group_IT_number 127
_space_group_name_Hall '-P 4 2ab'
_cell_length_a 9.8929
_cell_length_b 9.8929
_cell_length_c 4.5902
_cell_angle_alpha 90.00
_cell_angle_beta 90.00
_cell_angle_gamma 90.00
loop_
_atom_site_label
_atom_site_type_symbol
_atom_site_fract_x
_atom_site_fract_y
_atom_site_fract_z
_atom_site_occupancy
Na1 Na 0.1227 0.3773 0.0000 1
Sr1 Sr 0.1766 0.6766 0.5000 1
Ca1 Ca 0.0000 0.0000 0.0000 1
```

DFT formation energy = 5 kJ/mol of atoms
relative energy among the computed polymorphs = 26.9 meV per atom
total magnetization = 0.00 μB/atom
crystal system = tetragonal